The following is a PBE-GGA calculation of NaAgPtSe3 after structural relaxation, from OQMD via LeMat-Bulk.

a b c (Å): 6.9761 6.9761 10.5620
angles (deg): 90.00 90.00 31.75
Element x y z (fractional)
Ag  0.0930  0.0930  0.2500
Ag  0.9070  0.9070  0.7500
Na  0.7748  0.7748  0.2500
Na  0.2252  0.2252  0.7500
Pt  0.5000  0.5000  0.0000
Pt  0.5000  0.5000  0.5000
Se  0.1254  0.1254  0.0131
Se  0.4463  0.4463  0.2500
Se  0.1254  0.1254  0.4869
Se  0.8746  0.8746  0.5131
Se  0.5537  0.5537  0.7500
Se  0.8746  0.8746  0.9869

* E: -3.782 eV per atom

---

The following is a PBE-GGA calculation of NaAgTe2PtSe after structural relaxation, from OQMD via LeMat-Bulk.

a b c (Å): 6.8620 6.8620 10.9116
angles (deg): 90.00 90.00 145.57
Element x y z (fractional)
Ag  0.5701  0.4299  0.2500
Ag  0.4299  0.5701  0.7500
Na  0.2573  0.7427  0.2500
Na  0.7427  0.2573  0.7500
Pt  0.0000  0.0000  0.0000
Pt  0.0000  0.0000  0.5000
Se  0.9375  0.0625  0.2500
Se  0.0625  0.9375  0.7500
Te  0.6363  0.3637  0.0139
Te  0.6363  0.3637  0.4861
Te  0.3637  0.6363  0.5139
Te  0.3637  0.6363  0.9861

* E: -3.634 eV per atom

---

The following is a PBE-GGA calculation of Na4Si2AgPt after structural relaxation, from OQMD via LeMat-Bulk.

a b c (Å): 4.6395 4.6395 6.5850
angles (deg): 90.00 90.00 90.00
Element x y z (fractional)
Ag  0.0000  0.0000  0.0000
Na  0.5000  0.5000  0.0000
Na  0.0000  0.5000  0.2470
Na  0.0000  0.0000  0.5000
Na  0.5000  0.0000  0.7530
Pt  0.5000  0.5000  0.5000
Si  0.5000  0.0000  0.2796
Si  0.0000  0.5000  0.7204

* E: -3.114 eV per atom

---

The following is a PBE-GGA calculation of Na4Zn2AgPt after structural relaxation, from OQMD via LeMat-Bulk.

a b c (Å): 4.7637 4.7637 6.7997
angles (deg): 90.00 90.00 90.00
Element x y z (fractional)
Ag  0.0000  0.0000  0.0000
Na  0.5000  0.5000  0.0000
Na  0.5000  0.0000  0.2533
Na  0.0000  0.0000  0.5000
Na  0.0000  0.5000  0.7467
Pt  0.5000  0.5000  0.5000
Zn  0.0000  0.5000  0.2774
Zn  0.5000  0.0000  0.7226

* E: -2.153 eV per atom

---

The following is a PBE-GGA calculation of NaPuAg after structural relaxation, from OQMD via LeMat-Bulk.

a b c (Å): 4.9532 4.9532 4.9532
angles (deg): 60.00 60.00 60.00
Element x y z (fractional)
Ag  0.2500  0.2500  0.2500
Na  0.0000  0.0000  0.0000
Pu  0.7500  0.7500  0.7500

* E: -5.411 eV per atom

---

The following is a PBE-GGA calculation of NaPuAgTe2Se after structural relaxation, from OQMD via LeMat-Bulk.

a b c (Å): 8.1217 4.2434 10.3379
angles (deg): 90.00 105.21 90.00
Each line ends with the local moment (μB).
Element x y z (fractional)
Ag  0.0804  0.2500  0.0929  -0.04
Ag  0.9196  0.7500  0.9071  -0.04
Na  0.7474  0.7500  0.2205  0.00
Na  0.2526  0.2500  0.7795  0.00
Pu  0.3273  0.7500  0.3483  4.88
Pu  0.6727  0.2500  0.6517  4.88
Se  0.5662  0.2500  0.3647  -0.17
Se  0.4338  0.7500  0.6353  -0.17
Te  0.2888  0.7500  0.0423  -0.11
Te  0.0612  0.2500  0.3584  -0.18
Te  0.9388  0.7500  0.6416  -0.18
Te  0.7112  0.2500  0.9577  -0.11

* E: -5.523 eV per atom

---

The following is a PBE-GGA calculation of NaPuAgTe3 after structural relaxation, from OQMD via LeMat-Bulk.

a b c (Å): 7.6477 7.6477 11.3415
angles (deg): 90.00 90.00 146.51
Each line ends with the local moment (μB).
Element x y z (fractional)
Ag  0.5262  0.4738  0.2500  -0.07
Ag  0.4738  0.5262  0.7500  -0.07
Na  0.2317  0.7683  0.2500  0.00
Na  0.7683  0.2317  0.7500  0.00
Pu  0.0000  0.0000  0.0000  4.90
Pu  0.0000  0.0000  0.5000  4.93
Te  0.6398  0.3602  0.0543  -0.19
Te  0.9077  0.0923  0.2500  -0.17
Te  0.6398  0.3602  0.4457  -0.19
Te  0.3602  0.6398  0.5543  -0.19
Te  0.0923  0.9077  0.7500  -0.17
Te  0.3602  0.6398  0.9457  -0.19

* E: -5.349 eV per atom

---

The following is a PBE-GGA calculation of RbNaAg after structural relaxation, from OQMD via LeMat-Bulk.

a b c (Å): 5.6298 5.6298 5.6298
angles (deg): 60.00 60.00 60.00
Element x y z (fractional)
Ag  0.0000  0.0000  0.0000
Na  0.2500  0.2500  0.2500
Rb  0.7500  0.7500  0.7500

* E: -1.568 eV per atom
* polymorph energy (0 for the lowest one): 0 meV/atom

---

The following is a PBE-GGA calculation of RbNa3Ag2Sb2 after structural relaxation, from OQMD via LeMat-Bulk.

a b c (Å): 6.0613 5.8910 6.7686
angles (deg): 90.00 102.15 90.00
Element x y z (fractional)
Ag  0.0048  0.2464  0.0029
Ag  0.0048  0.7536  0.0029
Na  0.5304  0.0000  0.1880
Na  0.8217  0.5000  0.4822
Na  0.1735  0.0000  0.4993
Rb  0.4540  0.5000  0.8266
Sb  0.2678  0.5000  0.2972
Sb  0.7430  0.0000  0.7010

* E: -2.687 eV per atom

---

The following is a PBE-GGA calculation of NaReAgTe2S after structural relaxation, from OQMD via LeMat-Bulk.

a b c (Å): 7.5712 7.5712 9.6745
angles (deg): 90.00 90.00 149.16
Each line ends with the local moment (μB).
Element x y z (fractional)
Ag  0.9474  0.0526  0.2500  0.06
Ag  0.0526  0.9474  0.7500  0.06
Na  0.2727  0.7273  0.2500  0.01
Na  0.7273  0.2727  0.7500  0.01
Re  0.5000  0.5000  0.0000  1.68
Re  0.5000  0.5000  0.5000  1.67
S  0.5534  0.4466  0.2500  0.05
S  0.4466  0.5534  0.7500  0.05
Te  0.8679  0.1321  0.0008  0.04
Te  0.8679  0.1321  0.4992  0.04
Te  0.1321  0.8679  0.5008  0.04
Te  0.1321  0.8679  0.9992  0.04

* E: -4.454 eV per atom

---

The following is a PBE-GGA calculation of NaReAgSe3 after structural relaxation, from OQMD via LeMat-Bulk.

a b c (Å): 7.3565 7.3565 10.0423
angles (deg): 90.00 90.00 27.35
Each line ends with the local moment (μB).
Element x y z (fractional)
Ag  0.5703  0.5703  0.2500  0.06
Ag  0.4297  0.4297  0.7500  0.06
Na  0.2514  0.2514  0.2500  0.01
Na  0.7486  0.7486  0.7500  0.01
Re  0.0000  0.0000  0.0000  1.48
Re  0.0000  0.0000  0.5000  1.47
Se  0.6317  0.6317  0.0155  0.05
Se  0.9266  0.9266  0.2500  -0.03
Se  0.6317  0.6317  0.4845  0.05
Se  0.3683  0.3683  0.5155  0.05
Se  0.0734  0.0734  0.7500  -0.03
Se  0.3683  0.3683  0.9845  0.05

* E: -4.594 eV per atom

---

The following is a PBE-GGA calculation of NaReAg3Se4 after structural relaxation, from OQMD via LeMat-Bulk.

a b c (Å): 6.2976 6.2976 6.2976
angles (deg): 90.00 90.00 90.00
Each line ends with the local moment (μB).
Element x y z (fractional)
Ag  0.5000  0.5000  0.0000  0.07
Ag  0.5000  0.0000  0.5000  0.05
Ag  0.0000  0.5000  0.5000  0.04
Na  0.0000  0.0000  0.0000  0.02
Re  0.5000  0.5000  0.5000  1.99
Se  0.2728  0.2728  0.2728  0.09
Se  0.7272  0.7272  0.2728  0.06
Se  0.7272  0.2728  0.7272  0.05
Se  0.2728  0.7272  0.7272  0.06

* E: -4.082 eV per atom